No. 1
Computed, not measured: an optimized crystal structure of Pm12ErTm7 at the PBE level of DFT.

```
20
Lattice="9.783 5.648 2.053 -9.783 5.648 2.053 0.000 -11.296 2.053" Properties=species:S:1:pos:R:3 pbc="T T T"
Pm -4.042 -4.295 2.053
Pm -5.741 -1.353 2.053
Pm 0.000 -3.982 1.255
Pm -3.449 1.991 1.255
Pm 4.042 -4.295 2.053
Pm -1.698 5.648 2.053
Pm 3.449 1.991 1.255
Pm -3.449 -1.991 4.902
Pm 5.740 -1.353 2.053
Pm 1.698 5.648 2.053
Pm 3.449 -1.991 4.902
Pm 0.000 3.982 4.902
Er 0.000 0.000 3.079
Tm 0.000 0.000 0.000
Tm -2.377 -1.372 1.805
Tm 2.377 -1.372 1.805
Tm 0.000 2.744 1.805
Tm 0.000 -2.744 4.353
Tm -2.377 1.372 4.353
Tm 2.377 1.372 4.353
```

- Formation enthalpy at 0 K: 0.242 eV per atom
- VASP energy: -4.40 eV/atom
- Distance to the lowest polymorph of the same formula: 16 meV per atom
- Magnetic moment: 0.000 μB per cell
- SG: R-3m, No. 166

No. 2
Computed, not measured: an optimized crystal structure of ZnInCl3 at the PBE level of DFT.

```
20
Lattice="7.664 -5.873 0.000 7.664 5.873 0.000 -0.928 0.000 6.697" Properties=species:S:1:pos:R:3 pbc="T T T"
Zn 0.950 0.733 1.837
Zn 0.486 -0.733 5.186
Zn 13.913 0.733 1.511
Zn 13.449 -0.733 4.860
In 7.432 3.620 1.674
In 6.968 1.024 5.023
In 7.432 -1.024 1.674
In 6.968 -3.620 5.023
Cl 2.063 0.555 3.915
Cl 5.172 2.688 5.596
Cl 2.527 -0.555 0.566
Cl 5.905 0.849 2.648
Cl 8.764 2.688 4.450
Cl 5.441 -0.849 5.997
Cl 8.959 0.849 0.700
Cl 5.636 -2.688 2.248
Cl 8.495 -0.849 4.049
Cl 11.872 0.555 6.131
Cl 9.228 -2.688 1.101
Cl 12.336 -0.555 2.783
```

- VASP energy: -2.79 eV/atom
- Distance to the lowest polymorph of the same formula: 142 meV per atom
- Magnetic moment: 0.000 μB per cell
- SG: C2/c, No. 15
- Formation energy without anion corrections: -85 kJ per mole of atoms